# FeHg3C

Crystalline FeHg3C at its relaxed geometry (GGA-PBE, the Alexandria database).

Output
VASP energy, eV/atom: -2.262
Polymorph energy (0 for the lowest one), eV/atom: 0.0000
Total magnetic moment, μB/f.u.: 3.3
Mass density, g cm⁻³: 11.00
ΔE_f, eV/f.u.: 7.28

Cell: 4.659 4.659 4.659 Å, 90.00 90.00 90.00°
Positions (direct):
Fe (0.500, 0.500, 0.500)
C (0.000, 0.000, 0.000)
Hg (0.000, 0.500, 0.000)
Hg (0.000, 0.000, 0.500)
Hg (0.500, 0.000, 0.000)

***

# Fe2HgC

Crystalline Fe2HgC at its relaxed geometry (GGA-PBE, the Alexandria database).

Output
VASP energy, eV/atom: -6.026
Total magnetic moment, μB/f.u.: 2.9
Mass density, g cm⁻³: 10.28
ΔE_f, eV/f.u.: 2.35

Cell: 6.053 6.053 5.147 Å, 53.99 53.99 90.00°
Positions (direct):
Fe (0.875, 0.760, 0.750)
Fe (0.375, 0.490, 0.750)
Fe (0.240, 0.625, 0.250)
Fe (0.510, 0.125, 0.250)
Hg (0.000, 0.000, 0.000)
Hg (0.750, 0.250, 0.500)
C (0.500, 0.500, 0.000)
C (0.250, 0.750, 0.500)

***

# Fe3HgC

Crystalline Fe3HgC at its relaxed geometry (GGA-PBE, the Alexandria database).

Output
VASP energy, eV/atom: -4.185
Polymorph energy (0 for the lowest one), eV/atom: 2.5675
Total magnetic moment, μB/f.u.: 8.7
Mass density, g cm⁻³: 5.51
ΔE_f, eV/f.u.: 13.99

Cell: 4.857 4.857 4.857 Å, 90.00 90.00 90.00°
Positions (direct):
Fe (0.500, 0.000, 0.000)
Fe (0.000, 0.000, 0.500)
Fe (0.000, 0.500, 0.000)
C (0.500, 0.500, 0.500)
Hg (0.000, 0.000, 0.000)

***

# Fe2HgC

Crystalline Fe2HgC at its relaxed geometry (GGA-PBE, the Alexandria database).

Output
VASP energy, eV/atom: -5.102
Total magnetic moment, μB/f.u.: 5.1
Mass density, g cm⁻³: 10.20
ΔE_f, eV/f.u.: 6.04

Cell: 4.210 4.210 4.210 Å, 60.00 60.00 60.00°
Positions (direct):
Hg (0.500, 0.500, 0.500)
Fe (0.250, 0.250, 0.250)
Fe (0.750, 0.750, 0.750)
C (0.000, 0.000, 0.000)

***

# FeHg3C

Crystalline FeHg3C at its relaxed geometry (GGA-PBE, the Alexandria database).

Output
VASP energy, eV/atom: -1.697
Polymorph energy (0 for the lowest one), eV/atom: 0.5648
Total magnetic moment, μB/f.u.: 0.0
Mass density, g cm⁻³: 8.93
ΔE_f, eV/f.u.: 10.10

Cell: 4.993 4.993 4.993 Å, 90.00 90.00 90.00°
Positions (direct):
Fe (0.000, 0.000, 0.000)
Hg (0.000, 0.000, 0.500)
Hg (0.000, 0.500, 0.000)
Hg (0.500, 0.000, 0.000)
C (0.500, 0.500, 0.500)

***

# Fe3HgC

Crystalline Fe3HgC at its relaxed geometry (GGA-PBE, the Alexandria database).

Output
VASP energy, eV/atom: -6.752
Polymorph energy (0 for the lowest one), eV/atom: 0.0000
Total magnetic moment, μB/f.u.: 6.3
Mass density, g cm⁻³: 10.41
ΔE_f, eV/f.u.: 1.15

Cell: 3.929 3.929 3.929 Å, 90.00 90.00 90.00°
Positions (direct):
Hg (0.500, 0.500, 0.500)
Fe (0.500, 0.000, 0.000)
Fe (0.000, 0.000, 0.500)
Fe (0.000, 0.500, 0.000)
C (0.000, 0.000, 0.000)

***

Please write out number 2 again, unchanged.
# Fe2HgC

Crystalline Fe2HgC at its relaxed geometry (GGA-PBE, the Alexandria database).

Output
VASP energy, eV/atom: -6.026
Total magnetic moment, μB/f.u.: 2.9
Mass density, g cm⁻³: 10.28
ΔE_f, eV/f.u.: 2.35

Cell: 6.053 6.053 5.147 Å, 53.99 53.99 90.00°
Positions (direct):
Fe (0.875, 0.760, 0.750)
Fe (0.375, 0.490, 0.750)
Fe (0.240, 0.625, 0.250)
Fe (0.510, 0.125, 0.250)
Hg (0.000, 0.000, 0.000)
Hg (0.750, 0.250, 0.500)
C (0.500, 0.500, 0.000)
C (0.250, 0.750, 0.500)